Entry 1:
Density functional theory data (PBE) for a geometry-optimized ZrRh structure.

Structure (POSCAR):
```
ZrRh
1.0
9.9523 0.0000 0.0000
0.0000 7.8312 0.0000
0.0000 0.0000 5.6164
Zr Rh
12 12
Direct
0.1214 0.0361 0.2500 Zr
0.1214 0.4639 0.7500 Zr
0.3153 0.6407 0.2500 Zr
0.3153 0.8593 0.7500 Zr
0.3732 0.2500 0.0000 Zr
0.3732 0.2500 0.5000 Zr
0.6268 0.7500 0.0000 Zr
0.6268 0.7500 0.5000 Zr
0.6847 0.1407 0.2500 Zr
0.6847 0.3593 0.7500 Zr
0.8786 0.5361 0.2500 Zr
0.8786 0.9639 0.7500 Zr
0.0846 0.7500 0.0000 Rh
0.0846 0.7500 0.5000 Rh
0.1422 0.1089 0.7500 Rh
0.1422 0.3911 0.2500 Rh
0.4396 0.5483 0.7500 Rh
0.4396 0.9517 0.2500 Rh
0.5604 0.0483 0.7500 Rh
0.5604 0.4517 0.2500 Rh
0.8578 0.6089 0.7500 Rh
0.8578 0.8911 0.2500 Rh
0.9154 0.2500 0.0000 Rh
0.9154 0.2500 0.5000 Rh
```

Summary:
density of states at the Fermi level: 0.852 states/eV/atom
formation energy from the elements: -713 meV per atom
calculated total energy: -0.637 Ry per atom
density: 8.837 g/cm3



Entry 2:
Density functional theory data (PBE) for a geometry-optimized Ce2Fe2Ge structure.

Structure (POSCAR):
```
Ce2Fe2Ge
1.0
5.0071 -2.4280 0.0000
5.0071 2.4280 0.0000
-2.0231 0.0000 7.7001
Ce Fe Ge
4 4 2
Direct
0.0220 0.6747 0.8664 Ce
0.3253 0.9780 0.6336 Ce
0.6747 0.0220 0.3664 Ce
0.9780 0.3253 0.1336 Ce
0.2752 0.4612 0.4744 Fe
0.4612 0.2752 0.9744 Fe
0.5388 0.7248 0.0256 Fe
0.7248 0.5388 0.5256 Fe
0.3470 0.6530 0.2500 Ge
0.6530 0.3470 0.7500 Ge
```

Summary:
density of states at the Fermi level: 1.063 states/eV/atom
formation energy from the elements: -351 meV per atom
calculated total energy: -0.517 Ry per atom
density: 8.241 g/cm3